[1]
MgIrOs2: relaxed, PBE.

Calculated values
Electronic total energy   -0.5980 Ry/atom
Formation energy   92 meV/atom
Total moment   0.000 μB/f.u.

Unit cell a=4.8078 b=4.8078 c=4.7871 alpha=100.68 beta=100.68 gamma=33.29
Closest atoms and distances in Å follow each position.
Atoms (fractional coordinates):
1 Mg 0.0000 0.0000 0.0000  3 Ir 2.58-2.71, 5 Os 2.72-2.87, 2 Mg 2.75
2 Ir 0.7545 0.7545 0.1825  3 Mg 2.58-2.71, 2 Ir 2.75, 6 Os 2.75-2.78
3 Os 0.2320 0.2320 0.6776  5 Os 2.64-2.75, 4 Ir 2.75-2.78, 1 Mg 2.87
4 Os 0.4871 0.4871 0.5060  5 Os 2.64-2.75, 4 Mg 2.72-2.81, 2 Ir 2.76



[2]
MgIrOs2: relaxed, PBE.

Calculated values
Electronic total energy   -0.5891 Ry/atom
Formation energy   214 meV/atom
Total moment   0.000 μB/f.u.

Unit cell a=4.8764 b=4.8764 c=2.7175 alpha=90.00 beta=90.00 gamma=113.78
Closest atoms and distances in Å follow each position.
Atoms (fractional coordinates):
1 Mg 0.0000 0.0000 0.0000  2 Ir 2.66, 2 Mg 2.72, 8 Os 2.79
2 Ir 0.5000 0.5000 0.0000  2 Mg 2.66, 2 Ir 2.72, 8 Os 2.79
3 Os 0.0000 0.5000 0.5000  4 Os 2.66-2.72, 4 Ir 2.79, 4 Mg 2.79
4 Os 0.5000 0.0000 0.5000  4 Os 2.66-2.72, 4 Ir 2.79, 4 Mg 2.79



[3]
MgIrOs2: relaxed, PBE.

Calculated values
Electronic total energy   -0.5908 Ry/atom
Formation energy   190 meV/atom
Total moment   0.000 μB/f.u.

Unit cell a=4.7316 b=4.7316 c=4.7316 alpha=131.10 beta=131.10 gamma=71.66
Closest atoms and distances in Å follow each position.
Atoms (fractional coordinates):
1 Mg 0.0000 0.0000 0.0000  8 Os 2.74-2.77, 4 Ir 2.74
2 Ir 0.7500 0.2500 0.5000  4 Mg 2.74, 8 Os 2.74-2.77
3 Os 0.2500 0.7500 0.5000  4 Mg 2.74, 4 Os 2.74, 4 Ir 2.77
4 Os 0.5000 0.5000 0.0000  4 Ir 2.74, 4 Os 2.74, 4 Mg 2.77



[4]
MgIr2Os: relaxed, PBE.

Calculated values
Electronic total energy   -0.5184 Ry/atom
Formation energy   583 meV/atom
Total moment   0.000 μB/f.u.

Unit cell a=9.0911 b=9.0911 c=9.0911 alpha=155.11 beta=155.11 gamma=35.49
Closest atoms and distances in Å follow each position.
Atoms (fractional coordinates):
1 Mg 0.0000 0.0000 0.0000  4 Ir 2.59, 4 Os 2.77
2 Mg 0.7500 0.2500 0.5000  4 Ir 2.59, 4 Os 2.77
3 Ir 0.1360 0.6250 0.0110  2 Os 2.55, 2 Mg 2.59, 4 Ir 2.71-2.83
4 Ir 0.3750 0.3860 0.5110  2 Os 2.55, 2 Mg 2.59, 4 Ir 2.71-2.83
5 Ir 0.6140 0.1250 0.9890  2 Os 2.55, 2 Mg 2.59, 4 Ir 2.71-2.83
6 Ir 0.8750 0.8640 0.4890  2 Os 2.55, 2 Mg 2.59, 4 Ir 2.71-2.83
7 Os 0.2500 0.7500 0.5000  4 Ir 2.55, 4 Mg 2.77
8 Os 0.5000 0.5000 0.0000  4 Ir 2.55, 4 Mg 2.77



[5]
MgIrOs2: relaxed, PBE.

Calculated values
Electronic total energy   -0.5708 Ry/atom
Formation energy   463 meV/atom
Total moment   0.002 μB/f.u.

Unit cell a=2.7254 b=2.7254 c=9.2615 alpha=90.00 beta=90.00 gamma=118.25
Closest atoms and distances in Å follow each position.
Atoms (fractional coordinates):
1 Mg 0.0000 0.0000 0.0000  4 Os 2.71, 6 Mg 2.73-2.80
2 Ir 0.0000 0.0000 0.5000  4 Os 2.70, 6 Ir 2.73-2.80
3 Os 0.5000 0.5000 0.2509  2 Ir 2.70, 2 Mg 2.71, 6 Os 2.73-2.80
4 Os 0.5000 0.5000 0.7491  2 Ir 2.70, 2 Mg 2.71, 6 Os 2.73-2.80



[6]
MgIr2Os: relaxed, PBE.

Calculated values
Electronic total energy   -0.5598 Ry/atom
Formation energy   20 meV/atom
Total moment   0.000 μB/f.u.

Unit cell a=2.7646 b=2.7646 c=7.8926 alpha=90.00 beta=90.00 gamma=90.00
Closest atoms and distances in Å follow each position.
Atoms (fractional coordinates):
1 Mg 0.0000 0.0000 0.0000  4 Mg 2.76, 4 Ir 2.81, 4 Os 2.89
2 Ir 0.0000 0.0000 0.4981  4 Os 2.66, 8 Ir 2.76
3 Ir 0.5000 0.5000 0.7442  8 Ir 2.76, 4 Mg 2.81
4 Os 0.5000 0.5000 0.2693  4 Ir 2.66, 4 Os 2.76, 4 Mg 2.89